Computed, not measured: an optimized crystal structure of CoAgPO2 at the PBE with a Hubbard U level of DFT.

Cell and atoms, written as POSCAR:
```
CoAgPO2
1.0
-1.164 -0.142 -3.750
3.249 -2.003 -0.933
-2.455 -4.415 0.929
O Ag Co P
2 1 1 1
Cartesian
1.625 -1.002 -0.466 O
-0.582 -0.071 -1.875 O
0.000 0.000 0.000 Ag
-0.185 -3.280 -1.877 Co
-1.228 -2.207 0.465 P
```

Properties
DOS at the Fermi energy = 4.46 states/eV/cell
symmetry = P4/mmm, No. 123
excess energy over the best structure of this formula in the dataset = 806.4 meV per atom
total DFT energy (no corrections) = -3.8005 eV/atom